First-principles (PBE) data for an optimized crystal structure of ZrTi2Pd7, as listed in Alexandria via LeMat-Bulk.

Lattice parameters (Å, degrees): 4.157 7.506 7.506 122.73 90.00 90.00
Fractional positions:
Zr (0.000, 0.000, 0.000)
Ti (0.500, 0.691, 0.309)
Ti (0.500, 0.309, 0.691)
Pd (0.000, 0.788, 0.212)
Pd (0.000, 0.212, 0.788)
Pd (0.500, 0.076, 0.296)
Pd (0.500, 0.924, 0.704)
Pd (0.500, 0.296, 0.076)
Pd (0.500, 0.704, 0.924)
Pd (0.500, 0.500, 0.500)

Output
- ρ: 7.9 g/cm3
- V: 19.701 Å³ per atom
- Raw total energy: -6.15 eV per atom

=====

First-principles (PBE) data for an optimized crystal structure of Dy2PaTl2S6, as listed in Alexandria via LeMat-Bulk.

Lattice parameters (Å, degrees): 6.960 6.960 7.951 98.49 98.49 119.98
Each line ends with the local moment (μB).
Fractional positions:
Dy (0.334, 0.666, 0.500)  0.04
Dy (0.666, 0.334, 0.500)  0.04
Pa (0.000, 0.000, 0.500)  0.91
Tl (0.832, 0.168, 0.000)  0.00
Tl (0.168, 0.832, 0.000)  0.00
S (0.738, 0.738, 0.695)  -0.01
S (0.063, 0.394, 0.694)  -0.01
S (0.262, 0.262, 0.305)  -0.01
S (0.394, 0.063, 0.694)  -0.01
S (0.937, 0.606, 0.306)  -0.01
S (0.606, 0.937, 0.306)  -0.01

Output
- Formation energy (no corrections): -1614 kJ/mol of formula units
- ρ: 6.0 g/cm3
- V: 28.980 Å³ per atom
- Raw total energy: -5.90 eV per atom

=====

First-principles (PBE) data for an optimized crystal structure of CaTiS2, as listed in Alexandria via LeMat-Bulk.

Lattice parameters (Å, degrees): 5.894 5.894 7.258 66.04 66.04 90.00
Each line ends with the local moment (μB).
Fractional positions:
Ca (0.500, 0.500, 0.000)  0.06
Ca (0.250, 0.750, 0.500)  0.06
S (0.672, 0.125, 0.250)  -0.05
S (0.078, 0.625, 0.250)  -0.05
S (0.375, 0.328, 0.750)  -0.05
S (0.875, 0.922, 0.750)  -0.05
Ti (0.000, 0.000, 0.000)  1.41
Ti (0.750, 0.250, 0.500)  1.41

Output
- Distance to the lowest polymorph of the same formula: 213.8 meV per atom
- Formation energy (no corrections): -514 kJ/mol of formula units
- ρ: 2.4 g/cm3
- V: 25.807 Å³ per atom
- Raw total energy: -5.87 eV per atom

=====

Q: Which value of raw total energy does entry 2 give?
A: -5.90 eV per atom